MoOsO3: relaxed, GGA+U.

Geometry as POSCAR:
```
MoOsO3
1.0
3.936 0.000 0.000
0.000 3.936 0.000
0.000 0.000 3.936
Mo Os O
1 1 3
Direct
0.000 0.000 0.000
0.500 0.500 0.500
0.000 0.000 0.500
0.000 0.500 0.000
0.500 0.000 0.000
```

**Space group**: Pm-3m (221)
**Raw total energy**: -6.46 eV/atom
**D(E_F)**: 3.78 states/eV per cell